Record 1
{
  "formula": "Mg6GaAu10",
  "functional": "PBE",
  "state": "optimized geometry",
  "lattice_angstrom": [[-0.535, -3.082, -4.611], [-2.773, -6.118, 4.412], [-5.111, 5.414, -3.025]],
  "species": ["Mg", "Mg", "Mg", "Mg", "Mg", "Mg", "Au", "Au", "Au", "Au", "Au", "Au", "Au", "Au", "Au", "Au", "Ga"],
  "frac_coords": [[0.719, 0.375, 0.375], [0.719, 0.000, 0.625], [0.281, 0.375, 0.000], [0.719, 0.625, 0.000], [0.281, 0.625, 0.625], [0.281, 0.000, 0.375], [0.000, 0.667, 0.333], [0.797, 0.723, 0.723], [0.500, 0.333, 0.667], [0.203, 0.723, 0.000], [0.203, 0.277, 0.277], [0.000, 0.333, 0.667], [0.797, 0.277, 0.000], [0.797, 0.000, 0.277], [0.500, 0.667, 0.333], [0.203, 0.000, 0.723], [0.500, 0.000, 0.000]],
  "formation_enthalpy_0k_ev_per_atom": -0.441,
  "crystal_system": "trigonal",
  "final_energy_ev_per_cell": -52.86,
  "dos_ef_per_ev_fu": 6.49
}



Record 2
{
  "formula": "Mg8GaAu2",
  "functional": "PBE",
  "state": "optimized geometry",
  "lattice_angstrom": [[-1.394, -0.729, 4.320], [-0.320, -6.551, -1.209], [7.812, 2.718, 0.534]],
  "species": ["Mg", "Mg", "Mg", "Mg", "Mg", "Mg", "Mg", "Mg", "Ga", "Au", "Au"],
  "frac_coords": [[0.193, 0.280, 0.386], [0.977, 0.230, 0.954], [0.023, 0.770, 0.046], [0.398, 0.552, 0.795], [0.807, 0.720, 0.614], [0.330, 0.060, 0.661], [0.670, 0.940, 0.339], [0.602, 0.448, 0.205], [0.500, 0.000, 0.000], [0.178, 0.678, 0.355], [0.822, 0.322, 0.645]],
  "formation_enthalpy_0k_ev_per_atom": -0.315,
  "crystal_system": "monoclinic",
  "final_energy_ev_per_cell": -25.81,
  "dos_ef_per_ev_fu": 3.54,
  "de_polymorph_mev_per_atom": 0
}



Record 3
{
  "formula": "Mg2Ga2Au",
  "functional": "PBE",
  "state": "optimized geometry",
  "lattice_angstrom": [[-6.178, -2.181, -1.651], [1.809, -0.198, -6.507], [1.262, -3.930, 0.470]],
  "species": ["Au", "Au", "Mg", "Mg", "Mg", "Mg", "Ga", "Ga", "Ga", "Ga"],
  "frac_coords": [[0.500, 0.500, 0.000], [0.000, 0.000, 0.000], [0.670, 0.830, 0.500], [0.830, 0.330, 0.500], [0.170, 0.670, 0.500], [0.330, 0.170, 0.500], [0.867, 0.633, 0.000], [0.633, 0.133, 0.000], [0.133, 0.367, 0.000], [0.367, 0.867, 0.000]],
  "formation_enthalpy_0k_ev_per_atom": -0.278,
  "crystal_system": "tetragonal",
  "final_energy_ev_per_cell": -27.82,
  "dos_ef_per_ev_fu": 1.13,
  "de_polymorph_mev_per_atom": 28
}



Record 4
{
  "formula": "MgGaAu3",
  "functional": "PBE",
  "state": "optimized geometry",
  "lattice_angstrom": [[5.034, 0.000, 0.000], [0.000, 5.034, 0.000], [0.000, 0.000, 5.034]],
  "species": ["Au", "Au", "Au", "Ga", "Mg"],
  "frac_coords": [[0.000, 0.000, 0.500], [0.000, 0.500, 0.000], [0.500, 0.000, 0.000], [0.500, 0.500, 0.500], [0.000, 0.000, 0.000]],
  "formation_enthalpy_0k_ev_per_atom": 0.326,
  "crystal_system": "cubic",
  "final_energy_ev_per_cell": -12.82,
  "dos_ef_per_ev_fu": 1.12,
  "de_polymorph_mev_per_atom": 647
}



Record 5
{
  "formula": "MgGa3Au",
  "functional": "PBE",
  "state": "optimized geometry",
  "lattice_angstrom": [[-5.307, -1.628, 0.270], [0.539, -2.549, -4.784], [4.308, -4.494, 2.879]],
  "species": ["Mg", "Mg", "Ga", "Ga", "Ga", "Ga", "Ga", "Ga", "Au", "Au"],
  "frac_coords": [[0.736, 0.948, 0.900], [0.299, 0.448, 0.660], [0.719, 0.186, 0.462], [0.139, 0.948, 0.357], [0.895, 0.448, 0.204], [0.315, 0.209, 0.098], [0.315, 0.686, 0.098], [0.719, 0.709, 0.462], [0.200, 0.948, 0.752], [0.834, 0.448, 0.809]],
  "formation_enthalpy_0k_ev_per_atom": -0.198,
  "crystal_system": "monoclinic",
  "final_energy_ev_per_cell": -29.89,
  "dos_ef_per_ev_fu": 1.38,
  "de_polymorph_mev_per_atom": 31
}



Record 6
{
  "formula": "Mg3Ga2Au4",
  "functional": "PBE",
  "state": "optimized geometry",
  "lattice_angstrom": [[4.513, 0.000, 0.000], [-2.256, 5.029, -0.845], [0.000, -3.238, 7.846]],
  "species": ["Ga", "Ga", "Au", "Au", "Au", "Au", "Mg", "Mg", "Mg"],
  "frac_coords": [[0.623, 0.247, 0.296], [0.377, 0.753, 0.704], [0.935, 0.871, 0.612], [0.065, 0.129, 0.388], [0.288, 0.576, 0.934], [0.712, 0.424, 0.066], [0.658, 0.315, 0.681], [0.342, 0.685, 0.319], [0.000, 0.000, 0.000]],
  "formation_enthalpy_0k_ev_per_atom": -0.438,
  "crystal_system": "monoclinic",
  "final_energy_ev_per_cell": -27.89,
  "dos_ef_per_ev_fu": 2.13,
  "de_polymorph_mev_per_atom": 11
}



Record 7
{
  "formula": "Mg3Ga4Au4",
  "functional": "PBE",
  "state": "optimized geometry",
  "lattice_angstrom": [[-1.257, -3.515, -1.131], [6.075, -3.386, 3.771], [-6.224, 2.975, 4.399]],
  "species": ["Ga", "Ga", "Ga", "Ga", "Mg", "Mg", "Mg", "Au", "Au", "Au", "Au"],
  "frac_coords": [[0.325, 0.122, 0.650], [0.325, 0.528, 0.650], [0.675, 0.878, 0.350], [0.675, 0.472, 0.350], [0.887, 0.887, 0.774], [0.113, 0.113, 0.226], [0.000, 0.500, 0.000], [0.224, 0.724, 0.449], [0.500, 0.198, 0.000], [0.776, 0.276, 0.551], [0.500, 0.802, 0.000]],
  "formation_enthalpy_0k_ev_per_atom": -0.355,
  "crystal_system": "orthorhombic",
  "final_energy_ev_per_cell": -33.91,
  "dos_ef_per_ev_fu": 4.58
}



Record 8
{
  "formula": "MgGaAu2",
  "functional": "PBE",
  "state": "optimized geometry",
  "lattice_angstrom": [[-1.007, -1.945, 2.695], [2.949, 0.775, 1.661], [-2.640, 4.772, 2.459]],
  "species": ["Au", "Au", "Mg", "Ga"],
  "frac_coords": [[0.000, 0.000, 0.746], [0.000, 0.000, 0.254], [0.500, 0.500, 0.500], [0.500, 0.500, 0.000]],
  "formation_enthalpy_0k_ev_per_atom": -0.384,
  "crystal_system": "tetragonal",
  "final_energy_ev_per_cell": -12.71,
  "dos_ef_per_ev_fu": 0.85
}



Record 9
{
  "formula": "Mg3GaAu",
  "functional": "PBE",
  "state": "optimized geometry",
  "lattice_angstrom": [[4.992, 0.000, 0.000], [0.000, 4.992, 0.000], [0.000, 0.000, 4.992]],
  "species": ["Au", "Ga", "Mg", "Mg", "Mg"],
  "frac_coords": [[0.500, 0.500, 0.500], [0.000, 0.000, 0.000], [0.000, 0.000, 0.500], [0.500, 0.000, 0.000], [0.000, 0.500, 0.000]],
  "formation_enthalpy_0k_ev_per_atom": 0.113,
  "crystal_system": "cubic",
  "final_energy_ev_per_cell": -10.52,
  "dos_ef_per_ev_fu": 0.66,
  "de_polymorph_mev_per_atom": 412
}



Record 10
{
  "formula": "Mg8Ga3Au2",
  "functional": "PBE",
  "state": "optimized geometry",
  "lattice_angstrom": [[-4.287, -0.740, 0.861], [1.830, -7.627, 2.554], [1.666, -0.261, 8.074]],
  "species": ["Mg", "Mg", "Mg", "Mg", "Mg", "Mg", "Mg", "Mg", "Ga", "Ga", "Ga", "Au", "Au"],
  "frac_coords": [[0.500, 0.616, 0.115], [0.000, 0.380, 0.380], [0.500, 0.885, 0.384], [0.500, 0.115, 0.616], [0.500, 0.384, 0.885], [0.000, 0.620, 0.620], [0.000, 0.859, 0.859], [0.000, 0.141, 0.141], [0.000, 0.762, 0.238], [0.000, 0.238, 0.762], [0.500, 0.000, 0.000], [0.500, 0.257, 0.257], [0.500, 0.743, 0.743]],
  "formation_enthalpy_0k_ev_per_atom": -0.266,
  "crystal_system": "orthorhombic",
  "final_energy_ev_per_cell": -31.85,
  "dos_ef_per_ev_fu": 5.39
}



Record 11
{
  "formula": "MgGaAu",
  "functional": "PBE",
  "state": "optimized geometry",
  "lattice_angstrom": [[7.428, 0.000, 0.000], [-3.714, 6.432, 0.000], [0.000, 0.000, 3.463]],
  "species": ["Au", "Au", "Au", "Ga", "Ga", "Ga", "Mg", "Mg", "Mg"],
  "frac_coords": [[0.667, 0.333, 0.500], [0.000, 0.000, 0.000], [0.333, 0.667, 0.500], [0.000, 0.280, 0.500], [0.280, 0.000, 0.500], [0.720, 0.720, 0.500], [0.000, 0.614, 0.000], [0.614, 0.000, 0.000], [0.386, 0.386, 0.000]],
  "formation_enthalpy_0k_ev_per_atom": -0.437,
  "crystal_system": "hexagonal",
  "final_energy_ev_per_cell": -27.63,
  "dos_ef_per_ev_fu": 0.57
}



Record 12
{
  "formula": "Mg4Ga3Au",
  "functional": "PBE",
  "state": "optimized geometry",
  "lattice_angstrom": [[4.677, 0.000, 0.000], [0.000, 6.909, 0.000], [0.000, 0.000, 9.354]],
  "species": ["Ga", "Ga", "Ga", "Ga", "Ga", "Ga", "Mg", "Mg", "Mg", "Mg", "Mg", "Mg", "Mg", "Mg", "Au", "Au"],
  "frac_coords": [[0.504, 0.000, 0.750], [0.496, 0.000, 0.250], [0.000, 0.000, 0.500], [0.000, 0.000, 0.000], [0.504, 0.500, 0.750], [0.496, 0.500, 0.250], [0.996, 0.743, 0.250], [0.500, 0.743, 0.000], [0.004, 0.743, 0.750], [0.996, 0.257, 0.250], [0.500, 0.257, 0.500], [0.500, 0.743, 0.500], [0.500, 0.257, 0.000], [0.004, 0.257, 0.750], [0.000, 0.500, 0.500], [0.000, 0.500, 0.000]],
  "formation_enthalpy_0k_ev_per_atom": -0.259,
  "crystal_system": "orthorhombic",
  "final_energy_ev_per_cell": -41.61,
  "dos_ef_per_ev_fu": 2.72
}